A relaxed La6NdY12 crystal, computed with PBE.

The calculation puts the formation energy at 0.207 eV/atom.

The structure belongs to space group R-3m (No. 166, hexagonal axes); the cell edges are 13.5176, 13.5176 and 12.7208 Å and the angles 90.00°, 90.00° and 120.00°. The distinct sites, in fractional coordinates, are La at (0.0387, 0.5194, 0.1159), Nd at (0.0000, 0.0000, 0.5000), Y at (0.0000, 0.2552, 0.0000) and Y at (0.0912, 0.1824, 0.7620).

=====

A relaxed LaNd6Y5 crystal, computed with PBE.

The calculation puts the formation energy at 0.016 eV/atom.

The structure belongs to space group Cmmm (No. 65); the cell edges are 5.164, 15.499 and 10.240 Å and the angles 90.00°, 90.00° and 90.00°. The distinct sites, in fractional coordinates, are La at (0.000, 0.000, 0.000), Nd at (0.000, 0.167, 0.252), Nd at (0.000, 0.500, 0.252), Y at (0.000, 0.000, 0.500), Y at (0.000, 0.332, 0.000) and Y at (0.000, 0.333, 0.500).

=====

A relaxed La6NdY crystal, computed with PBE.

The calculation puts the formation energy at 0.006 eV/atom.

The structure belongs to space group P4/mmm (No. 123); the cell edges are 5.231, 5.231 and 10.454 Å and the angles 90.00°, 90.00° and 90.00°. The distinct sites, in fractional coordinates, are La at (0.000, 0.000, 0.000), La at (0.000, 0.000, 0.500), La at (0.000, 0.500, 0.249), Nd at (0.500, 0.500, 0.500) and Y at (0.500, 0.500, 0.000).

=====

A relaxed LaNd5Y3 crystal, computed with PBE.

The calculation puts the formation energy at 0.459 eV/atom. Its energy above the most stable polymorph in this dataset is 188.9 meV per atom.

The structure belongs to space group C2/m (No. 12); the cell edges are 15.449, 11.759 and 10.016 Å and the angles 90.00°, 129.67° and 90.00°. The distinct sites, in fractional coordinates, are La at (0.250, 0.000, 0.081), Nd at (0.000, 0.246, 0.500), Nd at (0.143, 0.249, 0.242), Nd at (0.228, 0.500, 0.553), Nd at (0.229, 0.000, 0.731), Y at (0.000, 0.000, 0.000), Y at (0.000, 0.500, 0.500), Y at (0.006, 0.000, 0.323) and Y at (0.013, 0.500, 0.852).

=====

A relaxed La2Nd8Y crystal, computed with PBE.

The calculation puts the formation energy at 0.133 eV/atom. Its energy above the most stable polymorph in this dataset is 118.6 meV per atom.

The structure belongs to space group C2/m (No. 12); the cell edges are 9.260, 16.749 and 6.074 Å and the angles 90.00°, 123.28° and 90.00°. The distinct sites, in fractional coordinates, are La at (0.000, 0.193, 0.000), Nd at (0.000, 0.294, 0.500), Nd at (0.078, 0.000, 0.297), Nd at (0.214, 0.385, 0.178) and Y at (0.000, 0.500, 0.500).

=====

A relaxed LaNdY2 crystal, computed with PBE.

The calculation puts the formation energy at 0.020 eV/atom. Its energy above the most stable polymorph in this dataset is 11.5 meV per atom.

The structure belongs to space group Cmmm (No. 65); the cell edges are 7.356, 10.100 and 3.681 Å and the angles 90.00°, 90.00° and 90.00°. The distinct sites, in fractional coordinates, are La at (0.000, 0.000, 0.000), Nd at (0.000, 0.500, 0.000) and Y at (0.250, 0.250, 0.500).

=====

A relaxed La3Nd4Y4 crystal, computed with PBE.

The calculation puts the formation energy at 0.145 eV/atom. Its energy above the most stable polymorph in this dataset is 0.0 meV per atom.

The structure belongs to space group Amm2 (No. 38); the cell edges are 10.870, 5.837 and 12.276 Å and the angles 90.00°, 90.00° and 90.00°. The distinct sites, in fractional coordinates, are La at (0.000, 0.000, 0.000), La at (0.294, 0.000, 0.153), Nd at (0.000, 0.000, 0.704), Nd at (0.214, 0.000, 0.500), Nd at (0.500, 0.000, 0.628), Y at (0.000, 0.000, 0.304), Y at (0.301, 0.000, 0.849) and Y at (0.500, 0.000, 0.358).

=====

A relaxed La4Nd4Y crystal, computed with PBE.

The calculation puts the formation energy at 0.016 eV/atom.

The structure belongs to space group C2/m (No. 12); the cell edges are 15.655, 5.248 and 8.233 Å and the angles 90.00°, 108.28° and 90.00°. The distinct sites, in fractional coordinates, are La at (0.056, 0.000, 0.333), La at (0.111, 0.500, 0.666), Nd at (0.166, 0.000, 0.999), Nd at (0.222, 0.500, 0.330) and Y at (0.000, 0.500, 0.000).